Record 1
Compound: Sm2PuPb
Source: Alexandria
Functional: PBE
Structure: optimized geometry

Its space group is R-3m (166). The calculation puts the formation energy from the elements at -0.052 eV per atom. The density comes out at 10.16 Mg/m³. The total DFT energy (no corrections) is -27.685 eV for the cell shown. The value obtained for the calculated volume is 123 Å³ per cell.

POSCAR file:
```
Sm2PuPb
1.0
3.5723 0.0000 0.0000
1.7861 3.0937 0.0000
1.7861 1.0312 11.1180
Pb Sm Pu
1 2 1
direct
0.0000 0.0000 0.0000
0.2511 0.2511 0.2468
0.7489 0.7489 0.7532
0.5000 0.5000 0.5000
```

=====

Record 2
Compound: SmPuPb
Source: Alexandria
Functional: PBE
Structure: optimized geometry

Its space group is P6_3/mmc (194). The calculation puts the formation energy from the elements at -0.308 eV per atom. The density comes out at 11.43 Mg/m³. The total DFT energy (no corrections) is -47.366 eV for the cell shown. The value obtained for the calculated volume is 175 Å³ per cell.

POSCAR file:
```
SmPuPb
1.0
-1.7568 -4.5903 -2.6843
5.4494 1.2893 0.0712
0.7426 -3.4362 5.3902
Sm Pu Pb
2 2 2
direct
0.3332 0.1668 0.7500
0.6668 0.8332 0.2500
0.0000 0.5000 0.0000
0.0000 0.5000 0.5000
0.6666 0.8334 0.7500
0.3334 0.1666 0.2500
```

=====

Record 3
Compound: SmPuPb
Source: Alexandria
Functional: PBE
Structure: optimized geometry

Its space group is P-6m2 (187). The calculation puts the formation energy from the elements at -0.003 eV per atom. The density comes out at 11.77 Mg/m³. The total DFT energy (no corrections) is -22.769 eV for the cell shown. The value obtained for the calculated volume is 85 Å³ per cell.

POSCAR file:
```
SmPuPb
1.0
3.3585 0.0000 0.0000
0.0000 5.4018 0.0000
0.0000 -2.7009 4.6781
Pb Sm Pu
1 1 1
direct
0.6663 0.6667 0.3333
0.1673 0.3333 0.6667
0.1663 0.0000 0.0000
```

=====

Record 4
Compound: SmPu2Pb
Source: Alexandria
Functional: PBE
Structure: optimized geometry

Its space group is P4/mmm (123). The calculation puts the formation energy from the elements at -0.161 eV per atom. The density comes out at 12.47 Mg/m³. The total DFT energy (no corrections) is -37.735 eV for the cell shown. The value obtained for the calculated volume is 113 Å³ per cell.

POSCAR file:
```
SmPu2Pb
1.0
5.2336 0.0000 0.0000
0.0000 4.6380 0.0000
0.0000 0.0000 4.6380
Pb Sm Pu
1 1 2
direct
0.5000 0.0000 0.0000
0.5000 0.5000 0.5000
0.0000 0.0000 0.5000
0.0000 0.5000 0.0000
```

=====

Record 5
Compound: SmPuPb2
Source: Alexandria
Functional: PBE
Structure: optimized geometry

Its space group is P4/mmm (123). The calculation puts the formation energy from the elements at -0.330 eV per atom. The density comes out at 11.71 Mg/m³. The total DFT energy (no corrections) is -27.787 eV for the cell shown. The value obtained for the calculated volume is 115 Å³ per cell.

POSCAR file:
```
SmPuPb2
1.0
3.5243 0.0000 0.0000
0.0000 3.5243 0.0000
0.0000 0.0000 9.2320
Pb Sm Pu
2 1 1
direct
0.0000 0.0000 0.7496
0.0000 0.0000 0.2504
0.5000 0.5000 0.0000
0.5000 0.5000 0.5000
```

=====

Record 6
Compound: SmPuTlPb
Source: Alexandria
Functional: PBE
Structure: optimized geometry

Its space group is F-43m (216). The calculation puts the formation energy from the elements at -0.215 eV per atom. The density comes out at 11.53 Mg/m³. The total DFT energy (no corrections) is -25.984 eV for the cell shown. The value obtained for the calculated volume is 116 Å³ per cell.

POSCAR file:
```
SmPuTlPb
1.0
5.4746 0.0000 0.0000
2.7373 4.7412 0.0000
2.7373 1.5804 4.4700
Pb Tl Sm Pu
1 1 1 1
direct
0.0000 0.0000 0.0000
0.5000 0.5000 0.5000
0.7500 0.7500 0.7500
0.2500 0.2500 0.2500
```

=====

Record 7
Compound: SmPuZnPb
Source: Alexandria
Functional: PBE
Structure: optimized geometry

Its space group is F-43m (216). The calculation puts the formation energy from the elements at -0.206 eV per atom. The density comes out at 10.29 Mg/m³. The total DFT energy (no corrections) is -24.856 eV for the cell shown. The value obtained for the calculated volume is 108 Å³ per cell.

POSCAR file:
```
SmPuZnPb
1.0
5.3387 0.0000 0.0000
2.6694 4.6235 0.0000
2.6694 1.5412 4.3590
Pb Zn Sm Pu
1 1 1 1
direct
0.5000 0.5000 0.5000
0.0000 0.0000 0.0000
0.7500 0.7500 0.7500
0.2500 0.2500 0.2500
```

=====

Record 8
Compound: PuSn2Pb
Source: Alexandria
Functional: PBE
Structure: optimized geometry

Its space group is P4/mmm (123). The calculation puts the formation energy from the elements at -0.274 eV per atom. The density comes out at 10.75 Mg/m³. The total DFT energy (no corrections) is -27.142 eV for the cell shown. The value obtained for the calculated volume is 106 Å³ per cell.

POSCAR file:
```
PuSn2Pb
1.0
-1.3235 -0.5950 4.5047
-4.3630 -1.1720 -1.4367
1.2962 -4.5546 -0.2208
Pb Sn Pu
1 2 1
direct
0.5000 0.0000 0.0000
0.0000 0.0000 0.5000
0.0000 0.5000 0.0000
0.5000 0.5000 0.5000
```

=====

Record 9
Compound: PuSn4Pb
Source: Alexandria
Functional: PBE
Structure: optimized geometry

Its space group is F-43m (216). The calculation puts the formation energy from the elements at -0.036 eV per atom. The density comes out at 9.12 Mg/m³. The total DFT energy (no corrections) is -34.268 eV for the cell shown. The value obtained for the calculated volume is 169 Å³ per cell.

POSCAR file:
```
PuSn4Pb
1.0
6.2016 0.0000 0.0000
3.1008 5.3708 0.0000
3.1008 1.7903 5.0636
Pb Sn Pu
1 4 1
direct
0.2500 0.2500 0.2500
0.6251 0.6251 0.1247
0.6251 0.1247 0.6251
0.6251 0.6251 0.6251
0.1247 0.6251 0.6251
0.0000 0.0000 0.0000
```

=====

Record 10
Compound: PuSn2Pb
Source: Alexandria
Functional: PBE
Structure: optimized geometry

Its space group is Fm-3m (225). The calculation puts the formation energy from the elements at -0.038 eV per atom. The density comes out at 9.98 Mg/m³. The total DFT energy (no corrections) is -26.197 eV for the cell shown. The value obtained for the calculated volume is 115 Å³ per cell.

POSCAR file:
```
PuSn2Pb
1.0
-2.6058 -1.1647 4.6451
-3.3145 -4.3211 0.2567
1.4459 -4.3755 2.9135
Pb Sn Pu
1 2 1
direct
0.0000 0.0000 0.0000
0.2500 0.2500 0.2500
0.7500 0.7500 0.7500
0.5000 0.5000 0.5000
```

=====

Record 11
Compound: PuSnPb
Source: Alexandria
Functional: PBE
Structure: optimized geometry

Its space group is Cmcm (63). The calculation puts the formation energy from the elements at 0.011 eV per atom. The density comes out at 12.05 Mg/m³. The total DFT energy (no corrections) is -44.019 eV for the cell shown. The value obtained for the calculated volume is 157 Å³ per cell.

POSCAR file:
```
PuSnPb
1.0
-2.2258 1.9288 1.8667
-3.2303 -4.0046 0.2859
5.5195 -0.6212 7.2230
Pu Sn Pb
2 2 2
direct
0.2500 0.0430 0.0859
0.7500 0.9570 0.9141
0.2500 0.4187 0.8374
0.7500 0.5813 0.1626
0.2500 0.7898 0.5796
0.7500 0.2102 0.4204
```

=====

Record 12
Compound: Pu6SnPb2
Source: Alexandria
Functional: PBE
Structure: optimized geometry

Its space group is P6/mmm (191). The calculation puts the formation energy from the elements at -0.060 eV per atom. The density comes out at 13.84 Mg/m³. The total DFT energy (no corrections) is -97.949 eV for the cell shown. The value obtained for the calculated volume is 240 Å³ per cell.

POSCAR file:
```
Pu6SnPb2
1.0
3.3757 0.0000 0.0000
0.0000 7.8393 -4.5260
0.0000 0.0000 9.0521
Pu Sn Pb
6 1 2
direct
0.5000 0.3308 0.3308
0.5000 0.6692 0.6692
0.5000 0.0000 0.6692
0.5000 0.6692 0.0000
0.5000 0.3308 0.0000
0.5000 0.0000 0.3308
0.0000 0.0000 0.0000
0.0000 0.3333 0.6667
0.0000 0.6667 0.3333
```